The following is a DFT calculation (PBE-GGA) of a relaxed structure of Cs3Er2Br9.

```
data_Cs3Er2Br9
_space_group_name_H-M_alt 'R -3 c'
_space_group_IT_number 167
_space_group_name_Hall '-R 3 2"c'
_cell_length_a 13.8399
_cell_length_b 13.8399
_cell_length_c 20.1867
_cell_angle_alpha 90.00
_cell_angle_beta 90.00
_cell_angle_gamma 120.00
loop_
_atom_site_label
_atom_site_type_symbol
_atom_site_fract_x
_atom_site_fract_y
_atom_site_fract_z
Cs1 Cs 0.0000 0.3387 0.2500
Er1 Er 0.0000 0.0000 0.1539
Br1 Br 0.0000 0.1551 0.7500
Br2 Br 0.0052 0.1748 0.4087
```

Calculated values
formation energy without anion corrections: -26.50 eV/f.u.
raw total energy: -319.48 eV for the cell shown